## CoPb2Au (GGA-PBEsol)

Data for crystalline CoPb2Au at its relaxed geometry.

**Space group**: Immm, No. 71
**Density**: 13.6 Mg/m³
**Calculated volume**: 81.7 Å³ per cell
**Energy**: -4.46 eV per atom
**Crystal system**: orthorhombic
**Energy relative to the elements**: 0.45 eV per atom

Cell lengths 4.311, 5.035, 5.015 Å; angles 120.14, 115.46, 90.00 degrees
Site moments in Bohr magnetons follow the coordinates.
Fractional positions:
Pb  0.735  0.735  0.470  -0.01
Pb  0.265  0.265  0.530  -0.01
Co  0.000  0.500  0.000  1.26
Au  0.500  0.000  0.000  0.01

=====

## IrRuPt (GGA-PBEsol)

Data for crystalline IrRuPt at its relaxed geometry.

**Space group**: F-43m, No. 216
**Density**: 16.0 Mg/m³
**Calculated volume**: 50.6 Å³ per cell
**Energy**: -8.29 eV per atom
**Crystal system**: cubic
**Energy relative to the elements**: 0.70 eV per atom

Cell lengths 4.153, 4.153, 4.153 Å; angles 60.00, 60.00, 60.00 degrees
Fractional positions:
Ir  0.250  0.250  0.250
Pt  0.000  0.000  0.000
Ru  0.500  0.500  0.500

=====

## CdIrOs2 (GGA-PBEsol)

Data for crystalline CdIrOs2 at its relaxed geometry.

**Space group**: C2/m, No. 12
**Density**: 18.9 Mg/m³
**Calculated volume**: 60.1 Å³ per cell
**Energy**: -8.44 eV per atom
**Crystal system**: monoclinic
**Energy relative to the elements**: 0.42 eV per atom

Cell lengths 2.753, 4.804, 4.813 Å; angles 99.28, 106.62, 90.00 degrees
Fractional positions:
Cd  0.500  0.000  0.000
Ir  0.000  0.500  0.000
Os  0.261  0.269  0.521
Os  0.739  0.731  0.479

=====

## Cu3Ni (GGA-PBEsol)

Data for crystalline Cu3Ni at its relaxed geometry.

**Space group**: Pmmm, No. 47
**Density**: 9.4 Mg/m³
**Calculated volume**: 43.9 Å³ per cell
**Energy**: -4.78 eV per atom
**Crystal system**: orthorhombic
**Energy relative to the elements**: 0.01 eV per atom

Cell lengths 2.503, 3.499, 5.010 Å; angles 90.00, 90.00, 90.00 degrees
Fractional positions:
Ni  0.500  0.500  0.000
Cu  0.000  0.000  0.753
Cu  0.500  0.500  0.500
Cu  0.000  0.000  0.247

=====

## Pm3Sm (GGA-PBEsol)

Data for crystalline Pm3Sm at its relaxed geometry.

**Space group**: P6_3/mmc, No. 194
**Density**: 7.6 Mg/m³
**Calculated volume**: 256.9 Å³ per cell
**Energy**: -5.10 eV per atom
**Crystal system**: hexagonal
**Energy relative to the elements**: 0.03 eV per atom

Cell lengths 5.783, 7.162, 7.162 Å; angles 120.00, 90.00, 90.00 degrees
Fractional positions:
Pm  0.250  0.667  0.833
Pm  0.250  0.167  0.333
Pm  0.250  0.167  0.833
Pm  0.750  0.333  0.167
Pm  0.750  0.833  0.667
Pm  0.750  0.833  0.167
Sm  0.750  0.333  0.667
Sm  0.250  0.667  0.333

=====

## Zr2RhCl (GGA-PBEsol)

Data for crystalline Zr2RhCl at its relaxed geometry.

**Space group**: P4/mmm, No. 123
**E_form (uncorrected)**: -710 meV per atom
**Density**: 7.8 Mg/m³
**Calculated volume**: 68.1 Å³ per cell
**Energy**: -7.79 eV per atom
**Crystal system**: tetragonal

Cell lengths 3.034, 3.034, 7.400 Å; angles 90.00, 90.00, 90.00 degrees
Fractional positions:
Rh  0.500  0.500  0.500
Zr  0.000  0.000  0.742
Zr  0.000  0.000  0.258
Cl  0.500  0.500  0.000

=====

## TcAgSb2 (GGA-PBEsol)

Data for crystalline TcAgSb2 at its relaxed geometry.

**Space group**: R-3m, No. 166
**E_form (uncorrected)**: 123 meV per atom
**Density**: 9.5 Mg/m³
**Calculated volume**: 78.8 Å³ per cell
**Energy**: -5.80 eV per atom
**Crystal system**: trigonal

Cell lengths 3.283, 3.283, 8.655 Å; angles 79.07, 79.07, 60.00 degrees
Fractional positions:
Ag  0.000  0.000  0.000
Sb  0.243  0.243  0.272
Sb  0.757  0.757  0.728
Tc  0.500  0.500  0.500

=====

## BaTl2Co (GGA-PBEsol)

Data for crystalline BaTl2Co at its relaxed geometry.

**Space group**: Imm2, No. 44
**Density**: 8.3 Mg/m³
**Calculated volume**: 120.9 Å³ per cell
**Energy**: -3.54 eV per atom
**Crystal system**: orthorhombic
**Energy relative to the elements**: 0.25 eV per atom

Cell lengths 5.067, 5.675, 5.670 Å; angles 120.03, 116.54, 90.00 degrees
Site moments in Bohr magnetons follow the coordinates.
Fractional positions:
Tl  0.914  0.914  0.827  -0.01
Tl  0.704  0.204  0.408  0.00
Co  0.408  0.908  0.815  0.54
Ba  0.475  0.475  0.949  -0.01

=====

## CaAlTe2 (GGA-PBEsol)

Data for crystalline CaAlTe2 at its relaxed geometry.

**Space group**: Amm2, No. 38
**E_form (uncorrected)**: -855 meV per atom
**Density**: 4.8 Mg/m³
**Calculated volume**: 111.3 Å³ per cell
**Energy**: -4.17 eV per atom
**Crystal system**: orthorhombic

Cell lengths 4.089, 4.181, 6.823 Å; angles 90.00, 107.44, 90.00 degrees
Fractional positions:
Ca  0.710  0.875  0.420
Te  0.017  0.875  0.035
Te  0.285  0.375  0.570
Al  0.487  0.375  0.975

=====

## ReTcP2 (GGA-PBEsol)

Data for crystalline ReTcP2 at its relaxed geometry.

**Space group**: R-3m, No. 166
**Density**: 10.9 Mg/m³
**Calculated volume**: 52.6 Å³ per cell
**Energy**: -9.22 eV per atom
**Crystal system**: trigonal
**Energy relative to the elements**: -0.17 eV per atom

Cell lengths 2.876, 2.876, 7.527 Å; angles 78.99, 78.99, 60.00 degrees
Fractional positions:
P  0.251  0.251  0.248
P  0.749  0.749  0.752
Re  0.500  0.500  0.500
Tc  0.000  0.000  0.000

=====

## Ti3CoH (GGA-PBEsol)

Data for crystalline Ti3CoH at its relaxed geometry.

**Space group**: Pm-3m, No. 221
**Density**: 5.6 Mg/m³
**Calculated volume**: 59.9 Å³ per cell
**Energy**: -7.35 eV per atom
**Crystal system**: cubic

Cell lengths 3.912, 3.912, 3.912 Å; angles 90.00, 90.00, 90.00 degrees
Fractional positions:
H  0.000  0.000  0.000
Co  0.500  0.500  0.500
Ti  0.000  0.500  0.000
Ti  0.000  0.000  0.500
Ti  0.500  0.000  0.000

=====

## CuRe2Ir (GGA-PBEsol)

Data for crystalline CuRe2Ir at its relaxed geometry.

**Space group**: P4/mmm, No. 123
**Density**: 19.1 Mg/m³
**Calculated volume**: 54.7 Å³ per cell
**Energy**: -10.05 eV per atom
**Crystal system**: tetragonal
**Energy relative to the elements**: 0.15 eV per atom

Cell lengths 2.690, 2.690, 7.558 Å; angles 90.00, 90.00, 90.00 degrees
Fractional positions:
Cu  0.500  0.500  0.000
Ir  0.500  0.500  0.500
Re  0.000  0.000  0.757
Re  0.000  0.000  0.243

=====

## Co2SiTc (GGA-PBEsol)

Data for crystalline Co2SiTc at its relaxed geometry.

**Space group**: C2/m, No. 12
**E_form (uncorrected)**: -40 meV per atom
**Density**: 8.6 Mg/m³
**Calculated volume**: 46.8 Å³ per cell
**Energy**: -8.16 eV per atom
**Crystal system**: monoclinic

Cell lengths 2.557, 4.543, 4.750 Å; angles 116.16, 101.70, 97.98 degrees
Site moments in Bohr magnetons follow the coordinates.
Fractional positions:
Co  0.000  0.000  0.500  1.22
Co  0.500  0.500  0.500  1.22
Si  0.500  0.000  0.000  0.01
Tc  0.000  0.500  0.000  0.25

=====

## Rb2TbGaSi4O12 (GGA-PBEsol)

Data for crystalline Rb2TbGaSi4O12 at its relaxed geometry.

**Space group**: C2/c, No. 15
**E_form (uncorrected)**: -2743 meV per atom
**Density**: 3.8 Mg/m³
**Calculated volume**: 1220.3 Å³ per cell
**Energy**: -7.56 eV per atom
**Crystal system**: monoclinic

Cell lengths 7.263, 13.928, 14.040 Å; angles 64.53, 75.01, 74.88 degrees
Fractional positions:
Rb  0.768  0.884  0.044
Rb  0.301  0.915  0.468
Rb  0.303  0.384  0.544
Rb  0.697  0.616  0.456
Rb  0.316  0.415  0.968
Rb  0.699  0.085  0.532
Rb  0.684  0.585  0.032
Rb  0.232  0.116  0.956
Tb  0.514  0.289  0.249
Tb  0.486  0.711  0.751
Tb  0.948  0.789  0.749
Tb  0.052  0.211  0.251
Ga  0.230  0.914  0.226
Ga  0.770  0.086  0.774
Ga  0.370  0.586  0.274
Ga  0.630  0.414  0.726
Si  0.137  0.673  0.990
Si  0.863  0.327  0.010
Si  0.762  0.421  0.339
Si  0.522  0.079  0.161
Si  0.238  0.579  0.661
Si  0.836  0.297  0.579
Si  0.140  0.470  0.203
Si  0.187  0.970  0.703
Si  0.712  0.203  0.921
Si  0.164  0.703  0.421
Si  0.200  0.173  0.490
Si  0.478  0.921  0.839
Si  0.288  0.797  0.079
Si  0.813  0.030  0.297
Si  0.860  0.530  0.797
Si  0.800  0.827  0.510
O  0.130  0.746  0.060
O  0.704  0.206  0.659
O  0.958  0.477  0.298
O  0.824  0.391  0.621
O  0.724  0.944  0.413
O  0.050  0.012  0.274
O  0.616  0.769  0.577
O  0.650  0.349  0.076
O  0.042  0.523  0.702
O  0.836  0.109  0.879
O  0.925  0.849  0.576
O  0.296  0.794  0.341
O  0.936  0.754  0.440
O  0.950  0.988  0.726
O  0.430  0.706  0.159
O  0.919  0.444  0.913
O  0.963  0.731  0.923
O  0.075  0.151  0.424
O  0.419  0.482  0.662
O  0.081  0.556  0.087
O  0.664  0.512  0.774
O  0.766  0.351  0.272
O  0.243  0.850  0.703
O  0.438  0.982  0.162
O  0.384  0.231  0.423
O  0.563  0.154  0.032
O  0.389  0.149  0.228
O  0.164  0.891  0.121
O  0.267  0.977  0.798
O  0.796  0.650  0.797
O  0.234  0.649  0.728
O  0.870  0.254  0.940
O  0.750  0.346  0.468
O  0.064  0.246  0.560
O  0.204  0.350  0.203
O  0.350  0.651  0.924
O  0.276  0.056  0.587
O  0.176  0.609  0.379
O  0.437  0.846  0.968
O  0.581  0.518  0.338
O  0.562  0.018  0.838
O  0.611  0.851  0.772
O  0.733  0.023  0.202
O  0.037  0.269  0.077
O  0.336  0.488  0.226
O  0.250  0.654  0.532
O  0.757  0.150  0.297
O  0.570  0.294  0.841

=====

## CsRb2TmCl6 (GGA-PBEsol)

Data for crystalline CsRb2TmCl6 at its relaxed geometry.

**Space group**: Fm-3m, No. 225
**E_form (uncorrected)**: -2046 meV per atom
**Density**: 3.0 Mg/m³
**Calculated volume**: 381.1 Å³ per cell
**Energy**: -4.04 eV per atom
**Crystal system**: cubic

Cell lengths 8.138, 8.138, 8.138 Å; angles 60.00, 60.00, 60.00 degrees
Fractional positions:
Cs  0.500  0.500  0.500
Tm  0.000  0.000  0.000
Rb  0.750  0.750  0.750
Rb  0.250  0.250  0.250
Cl  0.777  0.223  0.223
Cl  0.777  0.777  0.223
Cl  0.223  0.777  0.777
Cl  0.777  0.223  0.777
Cl  0.223  0.777  0.223
Cl  0.223  0.223  0.777

=====

## ScMnCu2 (GGA-PBEsol)

Data for crystalline ScMnCu2 at its relaxed geometry.

**Space group**: F-43m, No. 216
**Density**: 6.7 Mg/m³
**Calculated volume**: 55.9 Å³ per cell
**Energy**: -6.17 eV per atom
**Crystal system**: cubic
**Energy relative to the elements**: 0.08 eV per atom

Cell lengths 4.291, 4.291, 4.291 Å; angles 60.00, 60.00, 60.00 degrees
Site moments in Bohr magnetons follow the coordinates.
Fractional positions:
Cu  0.000  0.000  0.000  0.08
Cu  0.750  0.750  0.750  0.16
Mn  0.500  0.500  0.500  3.47
Sc  0.250  0.250  0.250  0.09

=====

## Si2TcI (GGA-PBEsol)

Data for crystalline Si2TcI at its relaxed geometry.

**Space group**: Fm-3m, No. 225
**E_form (uncorrected)**: 1027 meV per atom
**Density**: 7.0 Mg/m³
**Calculated volume**: 66.6 Å³ per cell
**Energy**: -5.10 eV per atom
**Crystal system**: cubic

Cell lengths 4.550, 4.550, 4.550 Å; angles 60.00, 60.00, 60.00 degrees
Fractional positions:
I  0.500  0.500  0.500
Si  0.250  0.250  0.250
Si  0.750  0.750  0.750
Tc  0.000  0.000  0.000

=====

## Mn2Co (GGA-PBEsol)

Data for crystalline Mn2Co at its relaxed geometry.

**Space group**: Cmcm, No. 63
**Density**: 9.2 Mg/m³
**Calculated volume**: 61.3 Å³ per cell
**Energy**: -9.04 eV per atom
**Crystal system**: orthorhombic
**Energy relative to the elements**: 0.04 eV per atom

Cell lengths 3.460, 3.451, 5.415 Å; angles 90.00, 108.63, 90.00 degrees
Site moments in Bohr magnetons follow the coordinates.
Fractional positions:
Mn  0.086  0.250  0.173  0.99
Mn  0.914  0.750  0.827  0.99
Mn  0.751  0.250  0.501  -0.64
Mn  0.249  0.750  0.499  -0.64
Co  0.417  0.250  0.834  0.26
Co  0.583  0.750  0.166  0.26

=====

## AlSi2Ru (GGA-PBEsol)

Data for crystalline AlSi2Ru at its relaxed geometry.

**Space group**: R-3m, No. 166
**E_form (uncorrected)**: -198 meV per atom
**Density**: 5.4 Mg/m³
**Calculated volume**: 56.3 Å³ per cell
**Energy**: -6.64 eV per atom
**Crystal system**: trigonal

Cell lengths 2.920, 2.920, 7.813 Å; angles 79.23, 79.23, 60.00 degrees
Fractional positions:
Ru  0.000  0.000  0.000
Si  0.256  0.256  0.233
Si  0.744  0.744  0.767
Al  0.500  0.500  0.500

=====

## TlSb2Pb (GGA-PBEsol)

Data for crystalline TlSb2Pb at its relaxed geometry.

**Space group**: P4mm, No. 99
**E_form (uncorrected)**: 55 meV per atom
**Density**: 9.4 Mg/m³
**Calculated volume**: 115.4 Å³ per cell
**Energy**: -3.88 eV per atom
**Crystal system**: tetragonal

Cell lengths 4.039, 4.039, 7.073 Å; angles 90.00, 90.00, 90.00 degrees
Fractional positions:
Pb  0.500  0.500  0.766
Sb  0.000  0.000  0.028
Sb  0.500  0.500  0.208
Tl  0.000  0.000  0.498